A plane-wave DFT calculation with GGA-PBE was carried out for a relaxed LaPrCuPd crystal.

Results
Its space group is F-43m (216). For the energy above the most stable polymorph in this dataset, the calculation gives 0.25 eV/f.u. The calculation puts the formation energy at -422 meV/atom.

Lattice parameters (Å, degrees): 5.176 5.176 5.176 60.00 60.00 60.00
Positions (direct):
Pr (0.000, 0.000, 0.000)
La (0.500, 0.500, 0.500)
Pd (0.250, 0.250, 0.250)
Cu (0.750, 0.750, 0.750)

***

A plane-wave DFT calculation with GGA-PBE was carried out for a relaxed Ac2LaCu crystal.

Results
Its space group is P4/mmm (123). For the energy above the most stable polymorph in this dataset, the calculation gives 0.09 eV/f.u. The calculation puts the formation energy at -21 meV/atom.

Lattice parameters (Å, degrees): 3.851 3.851 9.281 90.00 90.00 90.00
Positions (direct):
Ac (0.000, 0.000, 0.801)
Ac (0.000, 0.000, 0.199)
La (0.500, 0.500, 0.500)
Cu (0.500, 0.500, 0.000)

***

A plane-wave DFT calculation with GGA-PBE was carried out for a relaxed K4Sn3Br10 crystal.

Results
Its space group is I4/mmm (139). For the energy relative to the elements, uncorrected, the calculation gives -1.19 eV per atom.

Lattice parameters (Å, degrees): 5.867 5.867 20.395 98.27 98.27 90.00
Positions (direct):
K (0.698, 0.698, 0.396)
K (0.436, 0.436, 0.872)
K (0.302, 0.302, 0.604)
K (0.564, 0.564, 0.128)
Br (0.779, 0.779, 0.558)
Br (0.648, 0.148, 0.297)
Br (0.852, 0.352, 0.703)
Br (0.148, 0.648, 0.297)
Br (0.000, 0.500, 0.000)
Br (0.221, 0.221, 0.442)
Br (0.500, 0.000, 0.000)
Br (0.927, 0.927, 0.854)
Br (0.073, 0.073, 0.146)
Br (0.352, 0.852, 0.703)
Sn (0.000, 0.000, 0.000)
Sn (0.849, 0.849, 0.699)
Sn (0.151, 0.151, 0.301)

***

A plane-wave DFT calculation with GGA-PBE was carried out for a relaxed LaMg3Tc crystal.

Results
Its space group is Pm-3m (221). For the energy above the most stable polymorph in this dataset, the calculation gives 0.00 eV/f.u. The calculation puts the formation energy at 312 meV/atom.

Lattice parameters (Å, degrees): 5.059 5.059 5.059 90.00 90.00 90.00
Positions (direct):
Tc (0.000, 0.000, 0.000)
Mg (0.000, 0.000, 0.500)
Mg (0.000, 0.500, 0.000)
Mg (0.500, 0.000, 0.000)
La (0.500, 0.500, 0.500)

***

It is found that the volume values, taken in the order of the records, are 24.509, 34.420, 40.432, 25.891 Å³/atom.
It is found that the magnetic moment values, taken in the order of the records, are 0.00, 0.00, 0.00, 0.00 μB/cell.